1.
# Al2PtAu

A relaxed Al2PtAu crystal (GGA-PBE, Alexandria via LeMat-Bulk).

Lattice parameters (Å, degrees): 3.4783 3.4783 5.3247 90.00 90.00 90.00
Closest atoms and distances in Å follow each position.
Space group P4mm (No. 99)
Unique sites:
Al  0.0000  0.0000  0.0000 x1  4 Pt 2.61, 2 Au 2.63-2.70
Al  0.5000  0.5000  0.3112 x1  2 Pt 2.54-2.79, 4 Au 2.64
Pt  0.5000  0.5000  0.8350 x1  6 Al 2.54-2.79
Au  0.0000  0.0000  0.4937 x1  6 Al 2.63-2.70

Summary:
- Energy above the lowest structure with this stoichiometry: 0.0 meV per atom
- D(E_F): 0.3 states/eV per cell
- Calculated volume: 16.1 Å³ per atom
- Total magnetic moment: 0.000 μB/f.u.

=====

2.
# SrLa5Au6

A relaxed SrLa5Au6 crystal (GGA-PBE, Alexandria via LeMat-Bulk).

Lattice parameters (Å, degrees): 5.3702 16.1520 7.5430 90.00 90.00 90.00
Closest atoms and distances in Å follow each position.
Space group Cmmm (No. 65)
Unique sites:
Sr  0.0000  0.0000  0.0000 x2  8 Au 3.34-3.38
La  0.0000  0.0000  0.5000 x2  8 Au 3.23-3.36
La  0.0000  0.3341  0.5000 x4  8 Au 3.20-3.27
La  0.0000  0.3369  0.0000 x4  8 Au 3.26-3.30
Au  0.0000  0.1729  0.2525 x8  7 La 3.20-3.36, 1 Sr 3.38
Au  0.0000  0.5000  0.2630 x4  6 La 3.22-3.30, 2 Sr 3.34, 1 Au 3.57

Summary:
- D(E_F): 21.4 states/eV per cell
- Calculated volume: 27.3 Å³ per atom
- Total energy: -0.3387 Ry/atom
- Total magnetic moment: 0.000 μB/f.u.

=====

3.
# La2HoHg

A relaxed La2HoHg crystal (GGA-PBE, Alexandria via LeMat-Bulk).

Lattice parameters (Å, degrees): 3.8003 3.8003 8.9633 90.00 90.00 90.00
Closest atoms and distances in Å follow each position.
Space group P4/mmm (No. 123)
Unique sites:
La  0.0000  0.0000  0.2272 x2  4 Hg 3.37, 4 Ho 3.63
Ho  0.5000  0.5000  0.5000 x1  8 La 3.63, 4 Ho 3.80
Hg  0.5000  0.5000  0.0000 x1  8 La 3.37

Summary:
- Energy above the lowest structure with this stoichiometry: 26.3 meV per atom
- D(E_F): 5.4 states/eV per cell
- Calculated volume: 32.4 Å³ per atom
- Total magnetic moment: 0.000 μB/f.u.

=====

- Which formula does entry 2 have?
  SrLa5Au6

=====

Please write out number 1 again, unchanged.
# Al2PtAu

A relaxed Al2PtAu crystal (GGA-PBE, Alexandria via LeMat-Bulk).

Lattice parameters (Å, degrees): 3.4783 3.4783 5.3247 90.00 90.00 90.00
Closest atoms and distances in Å follow each position.
Space group P4mm (No. 99)
Unique sites:
Al  0.0000  0.0000  0.0000 x1  4 Pt 2.61, 2 Au 2.63-2.70
Al  0.5000  0.5000  0.3112 x1  2 Pt 2.54-2.79, 4 Au 2.64
Pt  0.5000  0.5000  0.8350 x1  6 Al 2.54-2.79
Au  0.0000  0.0000  0.4937 x1  6 Al 2.63-2.70

Summary:
- Energy above the lowest structure with this stoichiometry: 0.0 meV per atom
- D(E_F): 0.3 states/eV per cell
- Calculated volume: 16.1 Å³ per atom
- Total magnetic moment: 0.000 μB/f.u.

=====

- calculated volume of number 2 (SrLa5Au6)?
  27.3 Å³ per atom